# 1
TlInAgBr5 | PBE | relaxed Values from VASP.

Structure (Quantum ESPRESSO input):
```
&SYSTEM
  ibrav = 0, nat = 16, ntyp = 4
/
ATOMIC_SPECIES
Tl 204.38 Tl.upf
In 114.82 In.upf
Ag 107.87 Ag.upf
Br 79.90 Br.upf
CELL_PARAMETERS angstrom
5.027 -6.595 0.000
5.027 6.595 0.000
-3.374 0.000 8.897
ATOMIC_POSITIONS crystal
Tl 0.179 0.821 0.750
Tl 0.821 0.179 0.250
In 0.163 0.837 0.250
In 0.837 0.163 0.750
Ag 0.500 0.500 0.000
Ag 0.500 0.500 0.500
Br 0.119 0.229 0.954
Br 0.151 0.595 0.380
Br 0.229 0.119 0.454
Br 0.405 0.849 0.120
Br 0.421 0.579 0.750
Br 0.579 0.421 0.250
Br 0.595 0.151 0.880
Br 0.771 0.881 0.546
Br 0.849 0.405 0.620
Br 0.881 0.771 0.046
```

The value obtained for the electronic total energy is -43.91 eV for the cell shown. The calculation puts the formation energy (no corrections) at -704 meV per atom. As for the crystal system: monoclinic. The density of states at the Fermi level comes out at 0.00 states/eV/atom.


# 2
Ta2BeAg2 | PBE | relaxed Values from VASP.

Structure (Quantum ESPRESSO input):
```
&SYSTEM
  ibrav = 0, nat = 5, ntyp = 3
/
ATOMIC_SPECIES
Ta 180.95 Ta.upf
Be 9.01 Be.upf
Ag 107.87 Ag.upf
CELL_PARAMETERS angstrom
-1.788 1.788 7.267
1.788 -1.788 7.267
1.788 1.788 -7.267
ATOMIC_POSITIONS crystal
Ta 0.084 0.084 0.000
Ta 0.916 0.916 0.000
Be 0.500 0.500 0.000
Ag 0.250 0.750 0.500
Ag 0.750 0.250 0.500
```

The value obtained for the electronic total energy is -28.29 eV for the cell shown. As for the crystal system: tetragonal. The distance to the lowest polymorph of the same formula comes out at 0.149 eV/atom. The density of states at the Fermi level comes out at 1.02 states/eV/atom. The calculation puts the formation energy at 0.968 eV per atom.


# 3
Cu3C | PBE | relaxed Values from VASP.

Structure (Quantum ESPRESSO input):
```
&SYSTEM
  ibrav = 0, nat = 16, ntyp = 2
/
ATOMIC_SPECIES
Cu 63.55 Cu.upf
C 12.01 C.upf
CELL_PARAMETERS angstrom
5.339 0.000 0.000
0.000 6.701 0.000
0.000 0.000 4.700
ATOMIC_POSITIONS crystal
Cu 0.073 0.250 0.198
Cu 0.162 0.067 0.679
Cu 0.162 0.433 0.679
Cu 0.338 0.567 0.179
Cu 0.338 0.933 0.179
Cu 0.427 0.750 0.698
Cu 0.573 0.250 0.302
Cu 0.662 0.067 0.821
Cu 0.662 0.433 0.821
Cu 0.838 0.567 0.321
Cu 0.838 0.933 0.321
Cu 0.927 0.750 0.802
C 0.138 0.750 0.448
C 0.362 0.250 0.948
C 0.638 0.750 0.052
C 0.862 0.250 0.552
```

The value obtained for the electronic total energy is -76.61 eV for the cell shown. As for the crystal system: orthorhombic. The density of states at the Fermi level comes out at 0.41 states/eV/atom. The calculation puts the formation energy at 0.590 eV per atom.


# 4
RbYP2O | PBE | relaxed Values from VASP.

Structure (Quantum ESPRESSO input):
```
&SYSTEM
  ibrav = 0, nat = 5, ntyp = 4
/
ATOMIC_SPECIES
Rb 85.47 Rb.upf
Y 88.91 Y.upf
P 30.97 P.upf
O 16.00 O.upf
CELL_PARAMETERS angstrom
5.275 0.000 0.000
0.000 5.275 0.000
0.000 0.000 4.210
ATOMIC_POSITIONS crystal
Rb 0.000 0.000 0.000
Y 0.500 0.500 0.500
P 0.000 0.500 0.000
P 0.500 0.000 0.000
O 0.000 0.000 0.500
```

The value obtained for the electronic total energy is -19.29 eV for the cell shown. The calculation puts the formation energy (no corrections) at 784 meV per atom. As for the crystal system: tetragonal. The distance to the lowest polymorph of the same formula comes out at 1.278 eV/atom. The density of states at the Fermi level comes out at 0.80 states/eV/atom.


# 5
Er8MgIn5 | PBE | relaxed Values from VASP.

Structure (Quantum ESPRESSO input):
```
&SYSTEM
  ibrav = 0, nat = 14, ntyp = 3
/
ATOMIC_SPECIES
Er 167.26 Er.upf
Mg 24.30 Mg.upf
In 114.82 In.upf
CELL_PARAMETERS angstrom
-4.630 4.630 4.648
4.630 -4.630 4.648
4.630 4.630 -4.648
ATOMIC_POSITIONS crystal
Er 0.123 0.217 0.762
Er 0.149 0.750 0.762
Er 0.250 0.012 0.399
Er 0.455 0.361 0.238
Er 0.613 0.851 0.601
Er 0.639 0.877 0.094
Er 0.783 0.545 0.906
Er 0.988 0.387 0.238
Mg 0.750 0.250 0.500
In 0.000 0.000 0.000
In 0.260 0.638 0.119
In 0.362 0.481 0.622
In 0.519 0.141 0.881
In 0.859 0.740 0.378
```

The value obtained for the electronic total energy is -54.81 eV for the cell shown. As for the crystal system: tetragonal. The density of states at the Fermi level comes out at 1.12 states/eV/atom. The calculation puts the formation energy at -0.216 eV per atom.


# 6
Rb2ScF5 | PBE | relaxed Values from VASP.

Structure (Quantum ESPRESSO input):
```
&SYSTEM
  ibrav = 0, nat = 8, ntyp = 3
/
ATOMIC_SPECIES
Rb 85.47 Rb.upf
Sc 44.96 Sc.upf
F 19.00 F.upf
CELL_PARAMETERS angstrom
6.439 0.000 0.000
0.000 6.439 0.000
0.000 0.000 4.117
ATOMIC_POSITIONS crystal
Rb 0.000 0.500 0.000
Rb 0.500 0.000 0.000
Sc 0.000 0.000 0.500
F 0.000 0.000 0.000
F 0.221 0.221 0.500
F 0.221 0.779 0.500
F 0.779 0.221 0.500
F 0.779 0.779 0.500
```

The value obtained for the electronic total energy is -44.86 eV for the cell shown. The calculation puts the formation energy (no corrections) at -3404 meV per atom. As for the crystal system: tetragonal. The distance to the lowest polymorph of the same formula comes out at 0.026 eV/atom. The density of states at the Fermi level comes out at 0.00 states/eV/atom.


# 7
CaLaHg | PBE | relaxed Values from VASP.

Structure (Quantum ESPRESSO input):
```
&SYSTEM
  ibrav = 0, nat = 3, ntyp = 3
/
ATOMIC_SPECIES
Ca 40.08 Ca.upf
La 138.91 La.upf
Hg 200.59 Hg.upf
CELL_PARAMETERS angstrom
0.000 3.659 3.659
3.659 0.000 3.659
3.659 3.659 0.000
ATOMIC_POSITIONS crystal
Ca 0.000 0.000 0.000
La 0.750 0.750 0.750
Hg 0.250 0.250 0.250
```

The value obtained for the electronic total energy is -6.67 eV for the cell shown. As for the crystal system: cubic. The distance to the lowest polymorph of the same formula comes out at 0.537 eV/atom. The density of states at the Fermi level comes out at 0.88 states/eV/atom. The calculation puts the formation energy at 0.188 eV per atom.


# 8
Zr6Hg2NO | PBE | relaxed Values from VASP.

Structure (Quantum ESPRESSO input):
```
&SYSTEM
  ibrav = 0, nat = 10, ntyp = 4
/
ATOMIC_SPECIES
Zr 91.22 Zr.upf
Hg 200.59 Hg.upf
N 14.01 N.upf
O 16.00 O.upf
CELL_PARAMETERS angstrom
-3.189 3.189 4.504
3.189 -3.189 4.504
3.189 3.189 -4.504
ATOMIC_POSITIONS crystal
Zr 0.248 0.248 0.000
Zr 0.248 0.248 0.496
Zr 0.248 0.752 0.000
Zr 0.752 0.248 0.000
Zr 0.752 0.752 0.000
Zr 0.752 0.752 0.504
Hg 0.250 0.750 0.500
Hg 0.750 0.250 0.500
N 0.000 0.000 0.000
O 0.500 0.500 0.000
```

The value obtained for the electronic total energy is -74.81 eV for the cell shown. The calculation puts the formation energy (no corrections) at -964 meV per atom. As for the crystal system: tetragonal. The density of states at the Fermi level comes out at 0.90 states/eV/atom.